YBeAu3 after structural relaxation, computed with PBE-GGA. Values from VASP.

```
&SYSTEM
  ibrav = 0, nat = 10, ntyp = 3
/
ATOMIC_SPECIES
Y 88.91 Y.upf
Be 9.01 Be.upf
Au 196.97 Au.upf
CELL_PARAMETERS angstrom
7.163 -2.175 0.000
7.163 2.175 0.000
-2.521 0.000 6.262
ATOMIC_POSITIONS angstrom
Y 2.096 0.000 0.415
Y 9.708 0.000 5.847
Be 4.008 0.000 3.953
Be 7.796 0.000 2.310
Au -0.331 0.000 1.988
Au 1.660 0.000 4.068
Au 5.007 0.000 1.739
Au 6.798 0.000 4.523
Au 10.144 0.000 2.195
Au 12.135 0.000 4.274
```

Output
total magnetization	0.00	μB/f.u.
symmetry	C2/m, No. 12
offset from the most stable computed form	128	meV/atom
crystal system	monoclinic